(1)
## P2OsPt (PBE-GGA)

Data for an optimized crystal structure of P2OsPt.

Summary:
crystal system	tetragonal
M_tot	0.0	μB per formula unit
space group	P4mm, No. 99
excess energy over the best structure of this formula in the dataset	275.2	meV/atom
formation enthalpy at 0 K	0.23	eV/f.u.

Cell lengths 2.947, 2.947, 7.633 Å; angles 90.00, 90.00, 90.00 degrees
Atoms (fractional coordinates):
P  0.000  0.000  0.000
P  0.500  0.500  0.392
Os  0.500  0.500  0.841
Pt  0.000  0.000  0.564

(2)
## PuMoS (PBE-GGA)

Data for an optimized crystal structure of PuMoS.

Summary:
crystal system	tetragonal
M_tot	5.5	μB per formula unit
E_form (uncorrected)	-0.71	eV/atom
space group	P4/nmm, No. 129

Cell lengths 3.775, 3.775, 8.257 Å; angles 90.00, 90.00, 90.00 degrees
Atoms (fractional coordinates):
Pu  0.250  0.250  0.182
Pu  0.750  0.750  0.818
Mo  0.250  0.250  0.547
Mo  0.750  0.750  0.453
S  0.250  0.250  0.846
S  0.750  0.750  0.154

(3)
## LaPmC4 (PBE-GGA)

Data for an optimized crystal structure of LaPmC4.

Summary:
crystal system	monoclinic
M_tot	0.0	μB per formula unit
space group	C2/m, No. 12
formation enthalpy at 0 K	-0.90	eV/f.u.

Cell lengths 4.254, 4.254, 7.546 Å; angles 114.87, 114.87, 54.18 degrees
Atoms (fractional coordinates):
La  0.000  0.000  0.000
Pm  0.500  0.500  0.500
C  0.196  0.196  0.790
C  0.297  0.297  0.691
C  0.703  0.703  0.309
C  0.804  0.804  0.210

(4)
## La6PSe5 (PBE-GGA)

Data for an optimized crystal structure of La6PSe5.

Summary:
crystal system	monoclinic
M_tot	0.0	μB per formula unit
E_form (uncorrected)	-1.97	eV/atom
space group	C2/m, No. 12

Cell lengths 7.465, 7.465, 7.468 Å; angles 99.57, 99.57, 120.02 degrees
Atoms (fractional coordinates):
La  0.081  0.402  0.742
La  0.241  0.241  0.257
La  0.402  0.081  0.742
La  0.598  0.919  0.258
La  0.759  0.759  0.743
La  0.919  0.598  0.258
P  0.000  0.000  0.500
Se  0.170  0.830  0.000
Se  0.334  0.666  0.500
Se  0.500  0.500  0.000
Se  0.666  0.334  0.500
Se  0.830  0.170  0.000

(5)
## NdPa2Ni9 (PBE-GGA)

Data for an optimized crystal structure of NdPa2Ni9.

Summary:
crystal system	trigonal
M_tot	0.0	μB per formula unit
space group	R-3m, No. 166
formation enthalpy at 0 K	-4.61	eV/f.u.

Cell lengths 8.705, 8.705, 8.705 Å; angles 33.02, 33.02, 33.02 degrees
Atoms (fractional coordinates):
Nd  0.000  0.000  0.000
Pa  0.140  0.140  0.140
Pa  0.860  0.860  0.860
Ni  0.082  0.584  0.584
Ni  0.333  0.333  0.333
Ni  0.416  0.416  0.918
Ni  0.416  0.918  0.416
Ni  0.500  0.500  0.500
Ni  0.584  0.082  0.584
Ni  0.584  0.584  0.082
Ni  0.667  0.667  0.667
Ni  0.918  0.416  0.416

(6)
## Al3Ag4 (PBE-GGA)

Data for an optimized crystal structure of Al3Ag4.

Summary:
crystal system	monoclinic
M_tot	0.0	μB per formula unit
space group	C2/m, No. 12
excess energy over the best structure of this formula in the dataset	33.6	meV/atom
formation enthalpy at 0 K	-0.12	eV/f.u.

Cell lengths 6.882, 6.882, 6.853 Å; angles 116.40, 116.40, 24.89 degrees
Atoms (fractional coordinates):
Al  0.000  0.000  0.000
Al  0.228  0.228  0.156
Al  0.772  0.772  0.844
Ag  0.085  0.085  0.715
Ag  0.366  0.366  0.619
Ag  0.634  0.634  0.381
Ag  0.915  0.915  0.285

(7)
## InCuHg2 (PBE-GGA)

Data for an optimized crystal structure of InCuHg2.

Summary:
crystal system	tetragonal
M_tot	0.0	μB per formula unit
space group	P4/mmm, No. 123
formation enthalpy at 0 K	0.86	eV/f.u.

Cell lengths 4.402, 4.402, 4.371 Å; angles 90.00, 90.00, 90.00 degrees
Atoms (fractional coordinates):
In  0.000  0.000  0.000
Cu  0.500  0.500  0.000
Hg  0.000  0.500  0.500
Hg  0.500  0.000  0.500

(8)
## CdCo2Si (PBE-GGA)

Data for an optimized crystal structure of CdCo2Si.

Summary:
crystal system	orthorhombic
M_tot	0.5	μB per formula unit
E_form (uncorrected)	0.11	eV/atom
space group	Cmmm, No. 65
excess energy over the best structure of this formula in the dataset	320.5	meV/atom

Cell lengths 4.236, 4.236, 2.879 Å; angles 90.00, 90.00, 90.17 degrees
Atoms (fractional coordinates):
Cd  0.000  0.000  0.000
Co  0.000  0.500  0.500
Co  0.500  0.000  0.500
Si  0.500  0.500  0.000

(9)
## BiW4 (PBE-GGA)

Data for an optimized crystal structure of BiW4.

Summary:
crystal system	cubic
M_tot	0.1	μB per formula unit
space group	Pm-3m, No. 221
formation enthalpy at 0 K	17.45	eV/f.u.

Cell lengths 4.887, 4.887, 4.887 Å; angles 90.00, 90.00, 90.00 degrees
Atoms (fractional coordinates):
Bi  0.000  0.000  0.000
W  0.000  0.000  0.500
W  0.000  0.500  0.000
W  0.500  0.000  0.000
W  0.500  0.500  0.500

(10)
## SrZrCl4 (PBE-GGA)

Data for an optimized crystal structure of SrZrCl4.

Summary:
crystal system	cubic
M_tot	2.0	μB per formula unit
E_form (uncorrected)	-0.25	eV/atom
space group	F-43m, No. 216

Cell lengths 6.002, 6.002, 6.002 Å; angles 60.00, 60.00, 60.00 degrees
Atoms (fractional coordinates):
Sr  0.000  0.000  0.000
Zr  0.750  0.750  0.750
Cl  0.376  0.376  0.376
Cl  0.376  0.376  0.873
Cl  0.376  0.873  0.376
Cl  0.873  0.376  0.376

(11)
## Rb2ZrPdCl6 (PBE-GGA)

Data for an optimized crystal structure of Rb2ZrPdCl6.

Summary:
crystal system	tetragonal
M_tot	0.0	μB per formula unit
E_form (uncorrected)	-1.49	eV/atom
space group	I4/mmm, No. 139

Cell lengths 7.344, 7.344, 7.344 Å; angles 112.54, 112.54, 103.49 degrees
Atoms (fractional coordinates):
Rb  0.250  0.750  0.500
Rb  0.750  0.250  0.500
Zr  0.000  0.000  0.000
Pd  0.500  0.500  0.000
Cl  0.220  0.220  0.439
Cl  0.220  0.780  0.000
Cl  0.259  0.259  0.000
Cl  0.741  0.741  0.000
Cl  0.780  0.220  0.000
Cl  0.780  0.780  0.561

(12)
## Pr3Y2Ho (PBE-GGA)

Data for an optimized crystal structure of Pr3Y2Ho.

Summary:
crystal system	orthorhombic
M_tot	0.0	μB per formula unit
space group	Cmcm, No. 63
excess energy over the best structure of this formula in the dataset	0.0	meV/atom
formation enthalpy at 0 K	-0.02	eV/f.u.

Cell lengths 6.328, 6.328, 11.700 Å; angles 90.00, 90.00, 60.00 degrees
Atoms (fractional coordinates):
Pr  0.000  0.000  0.000
Pr  0.000  0.000  0.500
Pr  0.334  0.334  0.000
Pr  0.334  0.334  0.500
Pr  0.666  0.666  0.000
Pr  0.666  0.666  0.500
Y  0.000  0.333  0.250
Y  0.000  0.667  0.750
Y  0.333  0.000  0.750
Y  0.667  0.000  0.250
Ho  0.334  0.666  0.250
Ho  0.666  0.334  0.750